1.
Lu2SbO | PBE | optimized geometry

Calculated total energy (eV/atom): -6.14
Space-group type: R-3m (166)
Formation energy without anion corrections (eV per atom): -1.608

abc: 3.603 3.603 7.227
angles: 75.57 75.57 60.00
Sites, in units of the cell vectors:
1 Lu 0.274 0.274 0.179
2 O 0.000 0.000 0.000
3 Lu 0.726 0.726 0.821
4 Sb 0.500 0.500 0.500



2.
B8O | PBE | optimized geometry

Calculated total energy (eV/atom): -7.01
Space-group type: Cm (8)
Excess energy over the best structure of this formula in the dataset (eV/f.u.): 0.00
Formation energy without anion corrections (eV per atom): -0.527

abc: 5.140 5.140 9.144
angles: 72.81 72.81 62.32
Sites, in units of the cell vectors:
1 B 0.723 0.202 0.605
2 B 0.000 0.661 0.997
3 B 0.696 0.225 0.096
4 B 0.225 0.696 0.096
5 B 0.315 0.755 0.889
6 B 0.169 0.501 0.502
7 B 0.755 0.315 0.889
8 B 0.501 0.169 0.502
9 O 0.071 0.071 0.310
10 B 0.805 0.280 0.401
11 B 0.334 0.334 0.670
12 B 0.661 0.000 0.997
13 B 0.165 0.165 0.827
14 B 0.040 0.040 0.159
15 B 0.202 0.723 0.605
16 O 0.927 0.927 0.690
17 B 0.671 0.671 0.337
18 B 0.464 0.464 0.339
19 O 0.435 0.435 0.188
20 B 0.537 0.537 0.684
21 B 0.505 0.835 0.508
22 B 0.835 0.505 0.508
23 B 0.335 0.996 0.992
24 B 0.996 0.335 0.992
25 B 0.280 0.805 0.401
26 B 0.958 0.958 0.836
27 B 0.832 0.832 0.166



3.
LiHfPt2 | PBE | optimized geometry

Formation energy (eV/atom): -0.948
Calculated total energy (eV/atom): -6.94
Space-group type: P4/mmm (123)
Excess energy over the best structure of this formula in the dataset (eV/f.u.): 0.05

abc: 3.236 3.236 6.143
angles: 90.00 90.00 90.00
Sites, in units of the cell vectors:
1 Pt 0.000 0.000 0.764
2 Hf 0.500 0.500 0.500
3 Li 0.500 0.500 0.000
4 Pt 0.000 0.000 0.236



4.
Li2NbTl3S6 | PBE | optimized geometry

Calculated total energy (eV/atom): -4.46
Space-group type: C2/m (12)
Formation energy without anion corrections (eV per atom): -0.649

abc: 6.734 6.734 7.058
angles: 99.27 99.27 119.96
Sites, in units of the cell vectors:
1 Tl 0.500 0.500 0.500
2 Li 0.665 0.335 0.000
3 Li 0.335 0.665 0.000
4 S 0.932 0.626 0.793
5 S 0.239 0.239 0.794
6 S 0.374 0.068 0.207
7 S 0.626 0.932 0.793
8 S 0.068 0.374 0.207
9 Tl 0.163 0.837 0.500
10 S 0.761 0.761 0.206
11 Tl 0.837 0.163 0.500
12 Nb 0.000 0.000 0.000



5.
La5PmDy2Ho | PBE | optimized geometry

Formation energy (eV/atom): 0.287
Calculated total energy (eV/atom): -4.51
Space-group type: I4/mcm (140)

abc: 9.521 9.521 9.796
angles: 119.08 119.08 90.00
Sites, in units of the cell vectors:
1 La 0.934 0.434 0.270
2 La 0.066 0.566 0.730
3 Dy 0.108 0.392 0.000
4 Ho 0.250 0.750 0.500
5 La 0.337 0.837 0.270
6 La 0.000 0.000 0.000
7 Dy 0.392 0.892 0.000
8 Dy 0.892 0.608 0.000
9 La 0.500 0.500 0.000
10 La 0.163 0.066 0.730
11 Ho 0.750 0.250 0.500
12 La 0.566 0.663 0.730
13 La 0.434 0.337 0.270
14 La 0.837 0.934 0.270
15 Pm 0.750 0.750 0.500
16 Pm 0.250 0.250 0.500
17 Dy 0.608 0.108 0.000
18 La 0.663 0.163 0.730



6.
PmSm2CuS5 | PBE | optimized geometry

Calculated total energy (eV/atom): -6.04
Space-group type: Cmc2_1 (36)
Formation energy without anion corrections (eV per atom): -1.712

abc: 3.905 8.876 11.515
angles: 90.00 90.00 102.71
Sites, in units of the cell vectors:
1 Sm 0.104 0.208 0.684
2 Sm 0.116 0.232 0.310
3 S 0.042 0.084 0.061
4 S 0.677 0.355 0.841
5 Pm 0.805 0.609 0.510
6 S 0.958 0.916 0.561
7 S 0.502 0.004 0.278
8 S 0.359 0.719 0.002
9 Pm 0.195 0.391 0.010
10 S 0.292 0.585 0.684
11 S 0.498 0.996 0.778
12 Cu 0.441 0.882 0.454
13 Cu 0.559 0.118 0.954
14 Sm 0.884 0.768 0.810
15 S 0.708 0.415 0.184
16 S 0.323 0.645 0.341
17 Sm 0.896 0.792 0.184
18 S 0.641 0.281 0.502